Density functional theory data (GGA-PBEsol) for a geometry-optimized K2CuAg structure.

The structure in POSCAR format:
```
K2CuAg
1.0
3.6094 0.0000 0.0000
0.0000 3.6094 0.0000
0.0000 0.0000 9.6698
K Cu Ag
2 1 1
direct
0.0000 0.0000 0.0000
0.5000 0.5000 0.4205
0.5000 0.5000 0.7338
0.0000 0.0000 0.6821
```

Summary:
energy relative to the lowest polymorph listed for this composition: 0.0000 eV per atom
size of the total moment: 0.000 Bohr magnetons per cell
ΔH_f (0 K): 0.28 eV/atom
crystal system: tetragonal